[1]
The following is a PBE-GGA calculation of an optimized crystal structure of Na2MgPdF6, from Alexandria.

```
data_Na2MgPdF6
_symmetry_space_group_name_H-M 'P 1'
_symmetry_Int_Tables_number 1
_symmetry_space_group_name_Hall 'P 1'
_cell_length_a 5.0712
_cell_length_b 5.4654
_cell_length_c 9.7809
_cell_angle_alpha 90.00
_cell_angle_beta 88.08
_cell_angle_gamma 90.00
loop_
_atom_site_label
_atom_site_type_symbol
_atom_site_fract_x
_atom_site_fract_y
_atom_site_fract_z
_atom_site_occupancy
Na1 Na 0.0216 0.9361 0.2518 1
Na2 Na 0.5216 0.5639 0.7518 1
Na3 Na 0.9784 0.0639 0.7482 1
Na4 Na 0.4784 0.4361 0.2482 1
Mg1 Mg 0.5000 0.0000 0.0000 1
Mg2 Mg 0.0000 0.5000 0.5000 1
Pd1 Pd 0.5000 0.0000 0.5000 1
Pd2 Pd 0.0000 0.5000 0.0000 1
F1 F 0.2831 0.7069 0.0843 1
F2 F 0.7831 0.7931 0.5843 1
F3 F 0.7169 0.2931 0.9157 1
F4 F 0.2169 0.2069 0.4157 1
F5 F 0.3066 0.7122 0.4277 1
F6 F 0.8066 0.7878 0.9277 1
F7 F 0.6934 0.2878 0.5723 1
F8 F 0.1934 0.2122 0.0723 1
F9 F 0.8658 0.5566 0.3207 1
F10 F 0.3658 0.9434 0.8207 1
F11 F 0.1342 0.4434 0.6793 1
F12 F 0.6342 0.0566 0.1793 1
```

Space group   No. 14
Electronic total energy   -0.336 Ry per atom

[2]
The following is a PBE-GGA calculation of an optimized crystal structure of Ac2VN4, from Alexandria.

```
data_Ac2VN4
_symmetry_space_group_name_H-M 'P 1'
_symmetry_Int_Tables_number 1
_symmetry_space_group_name_Hall 'P 1'
_cell_length_a 5.7870
_cell_length_b 6.8197
_cell_length_c 7.4057
_cell_angle_alpha 115.64
_cell_angle_beta 90.00
_cell_angle_gamma 115.11
loop_
_atom_site_label
_atom_site_type_symbol
_atom_site_fract_x
_atom_site_fract_y
_atom_site_fract_z
_atom_site_occupancy
Ac1 Ac 0.4630 0.9260 0.7397 1
Ac2 Ac 0.5370 0.0740 0.2603 1
Ac3 Ac 0.8353 0.6707 0.2252 1
Ac4 Ac 0.1647 0.3293 0.7748 1
V1 V 0.8209 0.6419 0.7701 1
V2 V 0.1791 0.3581 0.2299 1
N1 N 0.6109 0.7248 0.9331 1
N2 N 0.8861 0.2752 0.0669 1
N3 N 0.3891 0.2752 0.0669 1
N4 N 0.1139 0.7248 0.9331 1
N5 N 0.0965 0.1931 0.3787 1
N6 N 0.9035 0.8069 0.6213 1
N7 N 0.6508 0.3016 0.6488 1
N8 N 0.3492 0.6984 0.3512 1
```

Space group   No. 12
Electronic total energy   -0.608 Ry per atom

[3]
The following is a PBE-GGA calculation of an optimized crystal structure of NaSbS2Cl, from Alexandria.

```
data_NaSbS2Cl
_symmetry_space_group_name_H-M 'P 1'
_symmetry_Int_Tables_number 1
_symmetry_space_group_name_Hall 'P 1'
_cell_length_a 5.0776
_cell_length_b 5.0776
_cell_length_c 5.3975
_cell_angle_alpha 90.00
_cell_angle_beta 90.00
_cell_angle_gamma 90.00
loop_
_atom_site_label
_atom_site_type_symbol
_atom_site_fract_x
_atom_site_fract_y
_atom_site_fract_z
_atom_site_occupancy
Sb1 Sb 0.0000 0.0000 0.0000 1
S1 S 0.0000 0.5000 0.0000 1
S2 S 0.5000 0.0000 0.0000 1
Na1 Na 0.5000 0.5000 0.5000 1
Cl1 Cl 0.0000 0.0000 0.5000 1
```

Space group   No. 123
Electronic total energy   -0.261 Ry per atom

[4]
The following is a PBE-GGA calculation of an optimized crystal structure of BaAl3Zn, from Alexandria.

```
data_BaAl3Zn
_symmetry_space_group_name_H-M 'P 1'
_symmetry_Int_Tables_number 1
_symmetry_space_group_name_Hall 'P 1'
_cell_length_a 6.3320
_cell_length_b 6.3320
_cell_length_c 6.3320
_cell_angle_alpha 90.00
_cell_angle_beta 90.00
_cell_angle_gamma 90.00
loop_
_atom_site_label
_atom_site_type_symbol
_atom_site_fract_x
_atom_site_fract_y
_atom_site_fract_z
_atom_site_occupancy
Zn1 Zn 0.5000 0.5000 0.5000 1
Ba1 Ba 0.0000 0.0000 0.0000 1
Al1 Al 0.0000 0.5000 0.0000 1
Al2 Al 0.0000 0.0000 0.5000 1
Al3 Al 0.5000 0.0000 0.0000 1
```

Space group   No. 221
Electronic total energy   -0.102 Ry per atom

[5]
The following is a PBE-GGA calculation of an optimized crystal structure of Al2PO2, from Alexandria.

```
data_Al2PO2
_symmetry_space_group_name_H-M 'P 1'
_symmetry_Int_Tables_number 1
_symmetry_space_group_name_Hall 'P 1'
_cell_length_a 6.3959
_cell_length_b 6.3959
_cell_length_c 2.7256
_cell_angle_alpha 90.00
_cell_angle_beta 90.00
_cell_angle_gamma 90.00
loop_
_atom_site_label
_atom_site_type_symbol
_atom_site_fract_x
_atom_site_fract_y
_atom_site_fract_z
_atom_site_occupancy
P1 P 0.0000 0.0000 0.0000 1
P2 P 0.5000 0.5000 0.0000 1
Al1 Al 0.3594 0.8594 0.0000 1
Al2 Al 0.8594 0.6406 0.0000 1
Al3 Al 0.6406 0.1406 0.0000 1
Al4 Al 0.1406 0.3594 0.0000 1
O1 O 0.1218 0.6218 0.5000 1
O2 O 0.6218 0.8782 0.5000 1
O3 O 0.8782 0.3782 0.5000 1
O4 O 0.3782 0.1218 0.5000 1
```

Space group   No. 127
Electronic total energy   -0.397 Ry per atom

[6]
The following is a PBE-GGA calculation of an optimized crystal structure of TcMo2Cl, from Alexandria.

```
data_TcMo2Cl
_symmetry_space_group_name_H-M 'P 1'
_symmetry_Int_Tables_number 1
_symmetry_space_group_name_Hall 'P 1'
_cell_length_a 8.8629
_cell_length_b 8.8629
_cell_length_c 8.8629
_cell_angle_alpha 18.89
_cell_angle_beta 18.89
_cell_angle_gamma 18.89
loop_
_atom_site_label
_atom_site_type_symbol
_atom_site_fract_x
_atom_site_fract_y
_atom_site_fract_z
_atom_site_occupancy
Cl1 Cl 0.2560 0.2560 0.2560 1
Mo1 Mo 0.9963 0.9963 0.9963 1
Mo2 Mo 0.7523 0.7523 0.7523 1
Tc1 Tc 0.4955 0.4955 0.4955 1
```

Space group   No. 160
Electronic total energy   -0.601 Ry per atom

[7]
The following is a PBE-GGA calculation of an optimized crystal structure of Dy4Sn2Bi, from Alexandria.

```
data_Dy4Sn2Bi
_symmetry_space_group_name_H-M 'P 1'
_symmetry_Int_Tables_number 1
_symmetry_space_group_name_Hall 'P 1'
_cell_length_a 6.1681
_cell_length_b 6.5518
_cell_length_c 10.2556
_cell_angle_alpha 90.00
_cell_angle_beta 98.63
_cell_angle_gamma 90.00
loop_
_atom_site_label
_atom_site_type_symbol
_atom_site_fract_x
_atom_site_fract_y
_atom_site_fract_z
_atom_site_occupancy
Dy1 Dy 0.5708 0.5059 0.2677 1
Dy2 Dy 0.9650 0.7500 0.8313 1
Dy3 Dy 0.0350 0.2500 0.1687 1
Dy4 Dy 0.5708 0.9941 0.2677 1
Dy5 Dy 0.8615 0.2500 0.5484 1
Dy6 Dy 0.4292 0.0059 0.7323 1
Dy7 Dy 0.4292 0.4941 0.7323 1
Dy8 Dy 0.1385 0.7500 0.4516 1
Sn1 Sn 0.5025 0.7500 0.9914 1
Sn2 Sn 0.4975 0.2500 0.0086 1
Sn3 Sn 0.3143 0.2500 0.4591 1
Sn4 Sn 0.6857 0.7500 0.5409 1
Bi1 Bi 0.0426 0.7500 0.1519 1
Bi2 Bi 0.9574 0.2500 0.8481 1
```

Space group   No. 11
Electronic total energy   -0.361 Ry per atom

[8]
The following is a PBE-GGA calculation of an optimized crystal structure of K2HgMo, from Alexandria.

```
data_K2HgMo
_symmetry_space_group_name_H-M 'P 1'
_symmetry_Int_Tables_number 1
_symmetry_space_group_name_Hall 'P 1'
_cell_length_a 10.3660
_cell_length_b 10.3660
_cell_length_c 4.4973
_cell_angle_alpha 77.55
_cell_angle_beta 77.55
_cell_angle_gamma 19.39
loop_
_atom_site_label
_atom_site_type_symbol
_atom_site_fract_x
_atom_site_fract_y
_atom_site_fract_z
_atom_site_occupancy
Hg1 Hg 0.7500 0.7500 0.7500 1
K1 K 0.0992 0.0992 0.9001 1
K2 K 0.4008 0.4008 0.5999 1
Mo1 Mo 0.2500 0.2500 0.2500 1
```

Space group   No. 12
Electronic total energy   -0.188 Ry per atom

[9]
The following is a PBE-GGA calculation of an optimized crystal structure of TlAgOs2, from Alexandria.

```
data_TlAgOs2
_symmetry_space_group_name_H-M 'P 1'
_symmetry_Int_Tables_number 1
_symmetry_space_group_name_Hall 'P 1'
_cell_length_a 4.8477
_cell_length_b 2.8590
_cell_length_c 5.0168
_cell_angle_alpha 90.55
_cell_angle_beta 90.00
_cell_angle_gamma 90.00
loop_
_atom_site_label
_atom_site_type_symbol
_atom_site_fract_x
_atom_site_fract_y
_atom_site_fract_z
_atom_site_occupancy
Tl1 Tl 0.5000 0.2500 0.2500 1
Os1 Os 0.0000 0.0264 0.9710 1
Os2 Os 0.0000 0.4736 0.5290 1
Ag1 Ag 0.5000 0.7500 0.7500 1
```

Space group   No. 10
Electronic total energy   -0.438 Ry per atom

[10]
The following is a PBE-GGA calculation of an optimized crystal structure of Si2TcSnAu, from Alexandria.

```
data_Si2TcSnAu
_symmetry_space_group_name_H-M 'P 1'
_symmetry_Int_Tables_number 1
_symmetry_space_group_name_Hall 'P 1'
_cell_length_a 4.6196
_cell_length_b 5.2374
_cell_length_c 4.6196
_cell_angle_alpha 90.00
_cell_angle_beta 90.00
_cell_angle_gamma 90.00
loop_
_atom_site_label
_atom_site_type_symbol
_atom_site_fract_x
_atom_site_fract_y
_atom_site_fract_z
_atom_site_occupancy
Si1 Si 0.0000 0.0000 0.5000 1
Si2 Si 0.5000 0.0000 0.0000 1
Au1 Au 0.5000 0.5000 0.5000 1
Sn1 Sn 0.0000 0.5000 0.0000 1
Tc1 Tc 0.0000 0.0000 0.0000 1
```

Space group   No. 123
Electronic total energy   -0.399 Ry per atom

[11]
The following is a PBE-GGA calculation of an optimized crystal structure of LiAc3Ru, from Alexandria.

```
data_LiAc3Ru
_symmetry_space_group_name_H-M 'P 1'
_symmetry_Int_Tables_number 1
_symmetry_space_group_name_Hall 'P 1'
_cell_length_a 6.6740
_cell_length_b 10.8172
_cell_length_c 10.8172
_cell_angle_alpha 77.59
_cell_angle_beta 107.95
_cell_angle_gamma 107.95
loop_
_atom_site_label
_atom_site_type_symbol
_atom_site_fract_x
_atom_site_fract_y
_atom_site_fract_z
_atom_site_occupancy
Li1 Li 0.0402 0.2911 0.2908 1
Li2 Li 0.4598 0.7092 0.7089 1
Li3 Li 0.9598 0.7089 0.7092 1
Li4 Li 0.5402 0.2908 0.2911 1
Ac1 Ac 0.6032 0.1743 0.0322 1
Ac2 Ac 0.8968 0.9678 0.8257 1
Ac3 Ac 0.3968 0.8257 0.9678 1
Ac4 Ac 0.1032 0.0322 0.1743 1
Ac5 Ac 0.8378 0.6035 0.0716 1
Ac6 Ac 0.6622 0.9284 0.3965 1
Ac7 Ac 0.1622 0.3965 0.9284 1
Ac8 Ac 0.3378 0.0716 0.6035 1
Ac9 Ac 0.4360 0.5713 0.3006 1
Ac10 Ac 0.0640 0.6994 0.4287 1
Ac11 Ac 0.5640 0.4287 0.6994 1
Ac12 Ac 0.9360 0.3006 0.5713 1
Ru1 Ru 0.2500 0.2039 0.7961 1
Ru2 Ru 0.7500 0.7961 0.2039 1
Ru3 Ru 0.2500 0.7959 0.2041 1
Ru4 Ru 0.7500 0.2041 0.7959 1
```

Space group   No. 15
Electronic total energy   -0.351 Ry per atom

[12]
The following is a PBE-GGA calculation of an optimized crystal structure of CaTa, from Alexandria.

```
data_CaTa
_symmetry_space_group_name_H-M 'P 1'
_symmetry_Int_Tables_number 1
_symmetry_space_group_name_Hall 'P 1'
_cell_length_a 6.0846
_cell_length_b 6.0846
_cell_length_c 6.3211
_cell_angle_alpha 90.00
_cell_angle_beta 90.00
_cell_angle_gamma 90.00
loop_
_atom_site_label
_atom_site_type_symbol
_atom_site_fract_x
_atom_site_fract_y
_atom_site_fract_z
_atom_site_occupancy
Ca1 Ca 0.1722 0.8278 0.0000 1
Ca2 Ca 0.6722 0.6722 0.5000 1
Ca3 Ca 0.3278 0.3278 0.5000 1
Ca4 Ca 0.8278 0.1722 0.0000 1
Ta1 Ta 0.3615 0.3615 0.0000 1
Ta2 Ta 0.8615 0.1385 0.5000 1
Ta3 Ta 0.1385 0.8615 0.5000 1
Ta4 Ta 0.6385 0.6385 0.0000 1
```

Space group   No. 136
Electronic total energy   -0.403 Ry per atom